Record 1
DFT (PBE-GGA) results for an optimized crystal structure of VMo3Cl.

```
VMo3Cl
1.0
4.395 0.000 0.000
0.000 4.395 0.000
0.000 0.000 4.395
Mo V Cl
3 1 1
Direct
0.000 0.500 0.000 Mo
0.000 0.000 0.500 Mo
0.500 0.000 0.000 Mo
0.500 0.500 0.500 V
0.000 0.000 0.000 Cl
```

Energy relative to the lowest polymorph listed for this composition, meV/atom: 0
Energy relative to the elements, uncorrected, eV per formula unit: 5.57
Total magnetization, μB/atom: 0.374

Record 2
DFT (PBE-GGA) results for an optimized crystal structure of Mo2WCl.

```
Mo2WCl
1.0
-1.204 1.235 -4.048
2.461 -0.920 -1.012
-1.079 -5.087 -1.232
Cl Mo W
1 2 1
Direct
0.500 0.514 0.775 Cl
0.000 0.047 0.006 Mo
0.500 0.326 0.232 Mo
0.000 0.612 0.487 W
```

Energy relative to the lowest polymorph listed for this composition, meV/atom: 313
Energy relative to the elements, uncorrected, eV per formula unit: 2.25
Total magnetization, μB/atom: 0.000

Record 3
DFT (PBE-GGA) results for an optimized crystal structure of MoWCl2.

```
MoWCl2
1.0
4.874 0.012 0.000
1.440 4.656 0.000
-3.157 -2.334 2.888
Mo W Cl
1 1 2
Direct
0.500 0.500 0.000 Mo
0.750 0.250 0.500 W
0.000 0.000 0.000 Cl
0.250 0.750 0.500 Cl
```

Energy relative to the lowest polymorph listed for this composition, meV/atom: 1316
Energy relative to the elements, uncorrected, eV per formula unit: 4.25
Total magnetization, μB/atom: 0.000

Record 4
DFT (PBE-GGA) results for an optimized crystal structure of Mo2WCl.

```
Mo2WCl
1.0
2.935 0.000 0.000
0.000 4.681 0.000
0.000 0.000 4.599
Cl Mo W
1 2 1
Direct
0.000 0.500 0.500 Cl
0.000 0.000 0.000 Mo
0.500 0.500 0.000 Mo
0.500 0.000 0.500 W
```

Energy relative to the lowest polymorph listed for this composition, meV/atom: 620
Energy relative to the elements, uncorrected, eV per formula unit: 3.48
Total magnetization, μB/atom: 0.000

Record 5
DFT (PBE-GGA) results for an optimized crystal structure of MoWCl2.

```
MoWCl2
1.0
7.769 0.006 -0.001
5.933 5.015 0.001
-6.539 -3.361 2.509
Mo W Cl
1 1 2
Direct
0.250 0.750 0.500 Mo
0.750 0.250 0.500 W
0.887 0.887 0.000 Cl
0.613 0.613 0.000 Cl
```

Energy relative to the lowest polymorph listed for this composition, meV/atom: 663
Energy relative to the elements, uncorrected, eV per formula unit: 1.64
Total magnetization, μB/atom: 0.305

Record 6
DFT (PBE-GGA) results for an optimized crystal structure of MoW2Cl.

```
MoW2Cl
1.0
-1.283 3.115 3.373
0.886 -2.479 2.626
3.470 1.333 0.088
Cl Mo W
1 1 2
Direct
0.500 0.500 0.000 Cl
0.500 0.000 0.500 Mo
0.000 0.000 0.000 W
0.000 0.500 0.500 W
```

Energy relative to the lowest polymorph listed for this composition, meV/atom: 926
Energy relative to the elements, uncorrected, eV per formula unit: 5.14
Total magnetization, μB/atom: 0.025

Record 7
DFT (PBE-GGA) results for an optimized crystal structure of Mo2WCl.

```
Mo2WCl
1.0
6.908 0.000 0.000
0.000 6.908 0.000
3.454 3.454 2.734
Mo W Cl
4 2 2
Direct
0.574 0.125 0.250 Mo
0.176 0.625 0.250 Mo
0.375 0.426 0.750 Mo
0.875 0.824 0.750 Mo
0.000 0.000 0.000 W
0.750 0.250 0.500 W
0.500 0.500 0.000 Cl
0.250 0.750 0.500 Cl
```

Energy relative to the lowest polymorph listed for this composition, meV/atom: 852
Energy relative to the elements, uncorrected, eV per formula unit: 4.41
Total magnetization, μB/atom: 0.000

Record 8
DFT (PBE-GGA) results for an optimized crystal structure of MoWCl2.

```
MoWCl2
1.0
-2.023 -2.242 0.497
2.534 0.498 1.642
-4.557 5.314 5.424
Mo W Cl
1 1 2
Direct
0.500 0.500 0.250 Mo
0.500 0.500 0.750 W
0.000 0.000 0.011 Cl
0.000 0.000 0.489 Cl
```

Energy relative to the lowest polymorph listed for this composition, meV/atom: 1062
Energy relative to the elements, uncorrected, eV per formula unit: 3.24
Total magnetization, μB/atom: 0.220

Record 9
DFT (PBE-GGA) results for an optimized crystal structure of Mo2WCl.

```
Mo2WCl
1.0
4.494 0.000 0.000
2.247 3.892 0.000
2.247 1.297 3.669
Cl Mo W
1 2 1
Direct
0.500 0.500 0.500 Cl
0.000 0.000 0.000 Mo
0.250 0.250 0.250 Mo
0.750 0.750 0.750 W
```

Energy relative to the lowest polymorph listed for this composition, meV/atom: 819
Energy relative to the elements, uncorrected, eV per formula unit: 4.27
Total magnetization, μB/atom: 0.000

Record 10
DFT (PBE-GGA) results for an optimized crystal structure of Mo2WCl.

```
Mo2WCl
1.0
-1.355 -0.509 2.720
1.018 -2.925 -0.040
6.235 2.120 3.503
Cl Mo W
1 2 1
Direct
0.500 0.750 0.750 Cl
0.000 0.750 0.040 Mo
0.000 0.750 0.460 Mo
0.500 0.250 0.250 W
```

Energy relative to the lowest polymorph listed for this composition, meV/atom: 0
Energy relative to the elements, uncorrected, eV per formula unit: 1.00
Total magnetization, μB/atom: 0.000

Record 11
DFT (PBE-GGA) results for an optimized crystal structure of Mo2WCl.

```
Mo2WCl
1.0
-3.470 -2.090 1.957
-2.621 2.226 2.901
-4.213 1.080 -1.147
Mo W Cl
2 1 1
Direct
0.250 0.250 0.250 Mo
0.750 0.750 0.750 Mo
0.500 0.500 0.500 W
0.000 0.000 0.000 Cl
```

Energy relative to the lowest polymorph listed for this composition, meV/atom: 750
Energy relative to the elements, uncorrected, eV per formula unit: 3.99
Total magnetization, μB/atom: 0.000

Record 12
DFT (PBE-GGA) results for an optimized crystal structure of MoWCl.

```
MoWCl
1.0
6.999 -0.012 0.008
6.082 2.839 -0.008
0.917 -1.072 2.641
Cl Mo W
1 1 1
Direct
0.000 0.000 0.000 Cl
0.677 0.677 0.323 Mo
0.323 0.323 0.677 W
```

Energy relative to the lowest polymorph listed for this composition, meV/atom: 0
Energy relative to the elements, uncorrected, eV per formula unit: 1.37
Total magnetization, μB/atom: 0.000

> energy relative to the lowest polymorph listed for this composition of number 4 (Mo2WCl)?

620 meV/atom

> Among the records above, which one has the highest energy relative to the lowest polymorph listed for this composition?

number 3

Please write out number 4 again, unchanged.
DFT (PBE-GGA) results for an optimized crystal structure of Mo2WCl.

```
Mo2WCl
1.0
2.935 0.000 0.000
0.000 4.681 0.000
0.000 0.000 4.599
Cl Mo W
1 2 1
Direct
0.000 0.500 0.500 Cl
0.000 0.000 0.000 Mo
0.500 0.500 0.000 Mo
0.500 0.000 0.500 W
```

Energy relative to the lowest polymorph listed for this composition, meV/atom: 620
Energy relative to the elements, uncorrected, eV per formula unit: 3.48
Total magnetization, μB/atom: 0.000

> Among the records above, which one has the lowest energy relative to the elements, uncorrected?

number 10